# 1
# AcTb2Nd5Tm, optimized geometry, DFT GGA-PBE
data_AcTb2Nd5Tm
_symmetry_space_group_name_H-M 'C m c 21'
_symmetry_Int_Tables_number 36
_symmetry_space_group_name_Hall 'C 2c -2'
_cell_length_a 5.5802
_cell_length_b 24.5465
_cell_length_c 9.4928
_cell_angle_alpha 90.00
_cell_angle_beta 90.00
_cell_angle_gamma 90.00
loop_
_atom_site_label
_atom_site_type_symbol
_atom_site_fract_x
_atom_site_fract_y
_atom_site_fract_z
Ac1 Ac 0.0000 0.1020 0.0000
Tb1 Tb 0.0000 0.3262 0.2515
Tb2 Tb 0.0000 0.3876 0.8530
Nd1 Nd 0.0000 0.0242 0.3266
Nd2 Nd 0.0000 0.1068 0.6039
Nd3 Nd 0.0000 0.1908 0.2945
Nd4 Nd 0.0000 0.2417 0.9357
Nd5 Nd 0.0000 0.4896 0.1082
Tm1 Tm 0.0000 0.2623 0.6083
# energy relative to the elements: 0.141 eV/atom
# crystal system: orthorhombic


# 2
# AcTbNd2Tm, optimized geometry, DFT GGA-PBE
data_AcTbNd2Tm
_symmetry_space_group_name_H-M 'P 1 21/m 1'
_symmetry_Int_Tables_number 11
_symmetry_space_group_name_Hall '-P 2yb'
_cell_length_a 6.4503
_cell_length_b 5.9035
_cell_length_c 9.8655
_cell_angle_alpha 90.00
_cell_angle_beta 108.76
_cell_angle_gamma 90.00
loop_
_atom_site_label
_atom_site_type_symbol
_atom_site_fract_x
_atom_site_fract_y
_atom_site_fract_z
Ac1 Ac 0.1365 0.2500 0.1054
Tb1 Tb 0.4773 0.7500 0.1057
Nd1 Nd 0.2661 0.7500 0.6994
Nd2 Nd 0.3378 0.2500 0.5018
Tm1 Tm 0.0651 0.7500 0.3090
# energy relative to the elements: 0.045 eV/atom
# crystal system: monoclinic


# 3
# AcTbNd3Tm, optimized geometry, DFT GGA-PBE
data_AcTbNd3Tm
_symmetry_space_group_name_H-M 'C 1 2/m 1'
_symmetry_Int_Tables_number 12
_symmetry_space_group_name_Hall '-C 2y'
_cell_length_a 20.8174
_cell_length_b 5.8678
_cell_length_c 7.1130
_cell_angle_alpha 90.00
_cell_angle_beta 91.35
_cell_angle_gamma 90.00
loop_
_atom_site_label
_atom_site_type_symbol
_atom_site_fract_x
_atom_site_fract_y
_atom_site_fract_z
Ac1 Ac 0.1478 0.0000 0.0313
Tb1 Tb 0.0583 0.5000 0.2980
Nd1 Nd 0.0162 0.0000 0.7398
Nd2 Nd 0.1593 0.5000 0.7414
Nd3 Nd 0.2192 0.5000 0.2787
Tm1 Tm 0.1420 0.0000 0.4871
# energy relative to the elements: 0.213 eV/atom
# crystal system: monoclinic


# 4
# AcTb2Nd2Tm2, optimized geometry, DFT GGA-PBE
data_AcTb2Nd2Tm2
_symmetry_space_group_name_H-M 'C 1 2/m 1'
_symmetry_Int_Tables_number 12
_symmetry_space_group_name_Hall '-C 2y'
_cell_length_a 11.5351
_cell_length_b 5.1480
_cell_length_c 8.1131
_cell_angle_alpha 90.00
_cell_angle_beta 98.42
_cell_angle_gamma 90.00
loop_
_atom_site_label
_atom_site_type_symbol
_atom_site_fract_x
_atom_site_fract_y
_atom_site_fract_z
Ac1 Ac 0.0000 0.0000 0.0000
Tb1 Tb 0.0744 0.5000 0.7055
Nd1 Nd 0.2150 0.5000 0.1526
Tm1 Tm 0.1420 0.0000 0.4339
# energy relative to the elements: 0.043 eV/atom
# crystal system: monoclinic


# 5
# AcTb2Nd3Y6, optimized geometry, DFT GGA-PBE
data_AcTb2Nd3Y6
_symmetry_space_group_name_H-M 'C 1 2/m 1'
_symmetry_Int_Tables_number 12
_symmetry_space_group_name_Hall '-C 2y'
_cell_length_a 6.2978
_cell_length_b 10.9046
_cell_length_c 11.9640
_cell_angle_alpha 90.00
_cell_angle_beta 100.07
_cell_angle_gamma 90.00
loop_
_atom_site_label
_atom_site_type_symbol
_atom_site_fract_x
_atom_site_fract_y
_atom_site_fract_z
Ac1 Ac 0.0000 0.0000 0.0000
Tb1 Tb 0.0000 0.3333 0.0000
Nd1 Nd 0.0000 0.1670 0.5000
Nd2 Nd 0.0000 0.5000 0.5000
Y1 Y 0.2475 0.3320 0.7488
Y2 Y 0.2484 0.5000 0.2514
# energy relative to the elements: 0.020 eV/atom
# crystal system: monoclinic


# 6
# AcTb2NdY6, optimized geometry, DFT GGA-PBE
data_AcTb2NdY6
_symmetry_space_group_name_H-M 'C 1 2/c 1'
_symmetry_Int_Tables_number 15
_symmetry_space_group_name_Hall '-C 2yc'
_cell_length_a 9.2993
_cell_length_b 15.3627
_cell_length_c 9.6482
_cell_angle_alpha 90.00
_cell_angle_beta 95.69
_cell_angle_gamma 90.00
loop_
_atom_site_label
_atom_site_type_symbol
_atom_site_fract_x
_atom_site_fract_y
_atom_site_fract_z
Ac1 Ac 0.0000 0.0308 0.2500
Tb1 Tb 0.2474 0.4441 0.4497
Nd1 Nd 0.0000 0.4110 0.7500
Y1 Y 0.0624 0.1866 0.9420
Y2 Y 0.0993 0.3898 0.1140
Y3 Y 0.2116 0.2299 0.3204
# energy relative to the elements: 0.127 eV/atom
# crystal system: monoclinic


# 7
# AcTb6Nd2Y3, optimized geometry, DFT GGA-PBE
data_AcTb6Nd2Y3
_symmetry_space_group_name_H-M 'C 1 2/m 1'
_symmetry_Int_Tables_number 12
_symmetry_space_group_name_Hall '-C 2y'
_cell_length_a 6.2807
_cell_length_b 10.8750
_cell_length_c 11.9719
_cell_angle_alpha 90.00
_cell_angle_beta 100.05
_cell_angle_gamma 90.00
loop_
_atom_site_label
_atom_site_type_symbol
_atom_site_fract_x
_atom_site_fract_y
_atom_site_fract_z
Ac1 Ac 0.0000 0.0000 0.0000
Tb1 Tb 0.2464 0.3323 0.7447
Tb2 Tb 0.2496 0.0000 0.7444
Nd1 Nd 0.0000 0.3334 0.0000
Y1 Y 0.0000 0.1670 0.5000
Y2 Y 0.0000 0.5000 0.5000
# energy relative to the elements: 0.029 eV/atom
# crystal system: monoclinic


# 8
# Ac3TbNd2Y6, optimized geometry, DFT GGA-PBE
data_Ac3TbNd2Y6
_symmetry_space_group_name_H-M 'C 1 2/m 1'
_symmetry_Int_Tables_number 12
_symmetry_space_group_name_Hall '-C 2y'
_cell_length_a 6.4447
_cell_length_b 11.1617
_cell_length_c 12.0109
_cell_angle_alpha 90.00
_cell_angle_beta 100.29
_cell_angle_gamma 90.00
loop_
_atom_site_label
_atom_site_type_symbol
_atom_site_fract_x
_atom_site_fract_y
_atom_site_fract_z
Ac1 Ac 0.0000 0.0000 0.0000
Ac2 Ac 0.0000 0.3331 0.0000
Tb1 Tb 0.0000 0.5000 0.5000
Nd1 Nd 0.0000 0.1664 0.5000
Y1 Y 0.2473 0.3337 0.7431
Y2 Y 0.2484 0.0000 0.7433
# energy relative to the elements: 0.038 eV/atom
# crystal system: monoclinic


# 9
# Ac2TbNd2Y, optimized geometry, DFT GGA-PBE
data_Ac2TbNd2Y
_symmetry_space_group_name_H-M 'P m m a'
_symmetry_Int_Tables_number 51
_symmetry_space_group_name_Hall '-P 2a 2a'
_cell_length_a 7.3671
_cell_length_b 5.9180
_cell_length_c 10.2073
_cell_angle_alpha 90.00
_cell_angle_beta 90.00
_cell_angle_gamma 90.00
loop_
_atom_site_label
_atom_site_type_symbol
_atom_site_fract_x
_atom_site_fract_y
_atom_site_fract_z
Ac1 Ac 0.0000 0.0000 0.0000
Ac2 Ac 0.2500 0.5000 0.1749
Tb1 Tb 0.2500 0.0000 0.6624
Nd1 Nd 0.2500 0.0000 0.3461
Nd2 Nd 0.2500 0.5000 0.8243
Y1 Y 0.0000 0.5000 0.5000
# energy relative to the elements: 0.079 eV/atom
# crystal system: orthorhombic


# 10
# AcTb2Nd5Y, optimized geometry, DFT GGA-PBE
data_AcTb2Nd5Y
_symmetry_space_group_name_H-M 'C m c 21'
_symmetry_Int_Tables_number 36
_symmetry_space_group_name_Hall 'C 2c -2'
_cell_length_a 5.6088
_cell_length_b 24.4491
_cell_length_c 9.5621
_cell_angle_alpha 90.00
_cell_angle_beta 90.00
_cell_angle_gamma 90.00
loop_
_atom_site_label
_atom_site_type_symbol
_atom_site_fract_x
_atom_site_fract_y
_atom_site_fract_z
Ac1 Ac 0.0000 0.1023 0.0000
Tb1 Tb 0.0000 0.3268 0.2486
Tb2 Tb 0.0000 0.3879 0.8588
Nd1 Nd 0.0000 0.0244 0.3272
Nd2 Nd 0.0000 0.1059 0.6055
Nd3 Nd 0.0000 0.1896 0.2963
Nd4 Nd 0.0000 0.2415 0.9328
Nd5 Nd 0.0000 0.4909 0.1081
Y1 Y 0.0000 0.2643 0.6069
# energy relative to the elements: 0.142 eV/atom
# crystal system: orthorhombic


# 11
# AcTbNd3Y, optimized geometry, DFT GGA-PBE
data_AcTbNd3Y
_symmetry_space_group_name_H-M 'P 1 21/m 1'
_symmetry_Int_Tables_number 11
_symmetry_space_group_name_Hall '-P 2yb'
_cell_length_a 8.2621
_cell_length_b 5.2389
_cell_length_c 10.4716
_cell_angle_alpha 90.00
_cell_angle_beta 108.68
_cell_angle_gamma 90.00
loop_
_atom_site_label
_atom_site_type_symbol
_atom_site_fract_x
_atom_site_fract_y
_atom_site_fract_z
Ac1 Ac 0.1700 0.2500 0.2917
Tb1 Tb 0.4962 0.7500 0.8773
Nd1 Nd 0.1707 0.7500 0.5470
Nd2 Nd 0.1733 0.2500 0.7940
Nd3 Nd 0.1734 0.7500 0.0393
Y1 Y 0.4969 0.2500 0.6283
# energy relative to the elements: 0.035 eV/atom
# crystal system: monoclinic


# 12
# AcTb2NdY2, optimized geometry, DFT GGA-PBE
data_AcTb2NdY2
_symmetry_space_group_name_H-M 'P n n m'
_symmetry_Int_Tables_number 58
_symmetry_space_group_name_Hall '-P 2 2n'
_cell_length_a 7.1206
_cell_length_b 10.0413
_cell_length_c 5.7832
_cell_angle_alpha 90.00
_cell_angle_beta 90.00
_cell_angle_gamma 90.00
loop_
_atom_site_label
_atom_site_type_symbol
_atom_site_fract_x
_atom_site_fract_y
_atom_site_fract_z
Ac1 Ac 0.0000 0.0000 0.0000
Tb1 Tb 0.2480 0.3336 0.0000
Nd1 Nd 0.0000 0.5000 0.5000
Y1 Y 0.2491 0.6670 0.0000
# energy relative to the elements: 0.072 eV/atom
# crystal system: orthorhombic


# 13
# AcTbNd6Y2, optimized geometry, DFT GGA-PBE
data_AcTbNd6Y2
_symmetry_space_group_name_H-M 'C 1 2/c 1'
_symmetry_Int_Tables_number 15
_symmetry_space_group_name_Hall '-C 2yc'
_cell_length_a 9.5614
_cell_length_b 15.3954
_cell_length_c 9.7493
_cell_angle_alpha 90.00
_cell_angle_beta 95.28
_cell_angle_gamma 90.00
loop_
_atom_site_label
_atom_site_type_symbol
_atom_site_fract_x
_atom_site_fract_y
_atom_site_fract_z
Ac1 Ac 0.0000 0.0347 0.2500
Tb1 Tb 0.0000 0.4112 0.7500
Nd1 Nd 0.0641 0.1798 0.9433
Nd2 Nd 0.0938 0.3866 0.1171
Nd3 Nd 0.2227 0.2273 0.3184
Y1 Y 0.2425 0.4496 0.4493
# energy relative to the elements: 0.120 eV/atom
# crystal system: monoclinic


# 14
# AcTbNdY3, optimized geometry, DFT GGA-PBE
data_AcTbNdY3
_symmetry_space_group_name_H-M 'P 1 21/m 1'
_symmetry_Int_Tables_number 11
_symmetry_space_group_name_Hall '-P 2yb'
_cell_length_a 8.2007
_cell_length_b 5.1934
_cell_length_c 10.3117
_cell_angle_alpha 90.00
_cell_angle_beta 108.53
_cell_angle_gamma 90.00
loop_
_atom_site_label
_atom_site_type_symbol
_atom_site_fract_x
_atom_site_fract_y
_atom_site_fract_z
Ac1 Ac 0.1658 0.2500 0.2932
Tb1 Tb 0.4987 0.2500 0.6261
Nd1 Nd 0.4970 0.7500 0.8753
Y1 Y 0.1692 0.7500 0.0402
Y2 Y 0.1712 0.7500 0.5453
Y3 Y 0.1721 0.2500 0.7920
# energy relative to the elements: 0.043 eV/atom
# crystal system: monoclinic


# 15
# Ac2Tb3NdY6, optimized geometry, DFT GGA-PBE
data_Ac2Tb3NdY6
_symmetry_space_group_name_H-M 'C 1 2/m 1'
_symmetry_Int_Tables_number 12
_symmetry_space_group_name_Hall '-C 2y'
_cell_length_a 6.3494
_cell_length_b 10.9949
_cell_length_c 11.9589
_cell_angle_alpha 90.00
_cell_angle_beta 100.17
_cell_angle_gamma 90.00
loop_
_atom_site_label
_atom_site_type_symbol
_atom_site_fract_x
_atom_site_fract_y
_atom_site_fract_z
Ac1 Ac 0.0000 0.1666 0.0000
Tb1 Tb 0.0000 0.0000 0.5000
Tb2 Tb 0.0000 0.3335 0.5000
Nd1 Nd 0.0000 0.5000 0.0000
Y1 Y 0.2453 0.5000 0.7428
Y2 Y 0.2482 0.1657 0.7427
# energy relative to the elements: 0.038 eV/atom
# crystal system: monoclinic


# 16
# AcTb5Nd2Y, optimized geometry, DFT GGA-PBE
data_AcTb5Nd2Y
_symmetry_space_group_name_H-M 'I 4/m c m'
_symmetry_Int_Tables_number 140
_symmetry_space_group_name_Hall '-I 4 2c'
_cell_length_a 8.9009
_cell_length_b 8.9009
_cell_length_c 15.6737
_cell_angle_alpha 90.00
_cell_angle_beta 90.00
_cell_angle_gamma 90.00
loop_
_atom_site_label
_atom_site_type_symbol
_atom_site_fract_x
_atom_site_fract_y
_atom_site_fract_z
Ac1 Ac 0.0000 0.0000 0.2500
Tb1 Tb 0.0000 0.0000 0.0000
Tb2 Tb 0.2071 0.2929 0.1329
Nd1 Nd 0.1167 0.3833 0.5000
Y1 Y 0.0000 0.5000 0.2500
# energy relative to the elements: 0.255 eV/atom
# crystal system: tetragonal


# 17
# AcTbNd2Y5, optimized geometry, DFT GGA-PBE
data_AcTbNd2Y5
_symmetry_space_group_name_H-M 'I 4/m c m'
_symmetry_Int_Tables_number 140
_symmetry_space_group_name_Hall '-I 4 2c'
_cell_length_a 8.8133
_cell_length_b 8.8133
_cell_length_c 15.9248
_cell_angle_alpha 90.00
_cell_angle_beta 90.00
_cell_angle_gamma 90.00
loop_
_atom_site_label
_atom_site_type_symbol
_atom_site_fract_x
_atom_site_fract_y
_atom_site_fract_z
Ac1 Ac 0.0000 0.5000 0.2500
Tb1 Tb 0.0000 0.0000 0.2500
Nd1 Nd 0.1158 0.3842 0.0000
Y1 Y 0.0000 0.0000 0.0000
Y2 Y 0.2121 0.2879 0.3660
# energy relative to the elements: 0.259 eV/atom
# crystal system: tetragonal


# 18
# AcTb2NdY5, optimized geometry, DFT GGA-PBE
data_AcTb2NdY5
_symmetry_space_group_name_H-M 'C m c 21'
_symmetry_Int_Tables_number 36
_symmetry_space_group_name_Hall 'C 2c -2'
_cell_length_a 5.6109
_cell_length_b 23.8359
_cell_length_c 9.4336
_cell_angle_alpha 90.00
_cell_angle_beta 90.00
_cell_angle_gamma 90.00
loop_
_atom_site_label
_atom_site_type_symbol
_atom_site_fract_x
_atom_site_fract_y
_atom_site_fract_z
Ac1 Ac 0.0000 0.1023 0.0000
Tb1 Tb 0.0000 0.3326 0.2470
Tb2 Tb 0.0000 0.3873 0.8564
Nd1 Nd 0.0000 0.2618 0.6070
Y1 Y 0.0000 0.0244 0.3182
Y2 Y 0.0000 0.1026 0.6018
Y3 Y 0.0000 0.1904 0.2994
Y4 Y 0.0000 0.2425 0.9347
Y5 Y 0.0000 0.4935 0.0908
# energy relative to the elements: 0.156 eV/atom
# crystal system: orthorhombic


# 19
# Ac2TbNdY, optimized geometry, DFT GGA-PBE
data_Ac2TbNdY
_symmetry_space_group_name_H-M 'P m m a'
_symmetry_Int_Tables_number 51
_symmetry_space_group_name_Hall '-P 2a 2a'
_cell_length_a 6.4687
_cell_length_b 8.9838
_cell_length_c 6.7555
_cell_angle_alpha 90.00
_cell_angle_beta 90.00
_cell_angle_gamma 90.00
loop_
_atom_site_label
_atom_site_type_symbol
_atom_site_fract_x
_atom_site_fract_y
_atom_site_fract_z
Ac1 Ac 0.2500 0.2028 0.2088
Tb1 Tb 0.0000 0.5000 0.5000
Nd1 Nd 0.2500 0.5000 0.9183
Y1 Y 0.2500 0.0000 0.6800
# energy relative to the elements: 0.266 eV/atom
# crystal system: orthorhombic